# 1
Se2NCl PBE optimized geometry; SG = No. 166; final energy = -13.118 eV/f.u.; formation energy without anion corrections = 4.0 eV per formula unit; distance to the lowest polymorph of the same formula = 562 meV per atom
1.0
2.855 -5.533 5.294
1.505 -7.436 3.037
4.513 -6.294 2.609
Se N Cl
2 1 1
Cartesian
0.937 -2.035 1.156
7.936 -17.228 9.785
4.437 -9.632 5.470
0.000 0.000 0.000

=====

# 2
CrCdIr2 PBE optimized geometry; energy of formation = 191 meV per atom; SG = No. 99; final energy = -27.497 eV/f.u.
1.0
-2.440 -1.354 0.227
1.117 -1.687 1.936
-2.294 5.102 5.769
Ir Cr Cd
2 1 1
Cartesian
-2.281 5.073 5.737
-1.187 -0.353 2.402
-2.447 2.449 5.570
-1.144 2.544 2.877

=====

# 3
BeTe2 PBE optimized geometry; SG = No. 12; final energy = -10.056 eV/f.u.; formation energy without anion corrections = 0.0 eV per formula unit; distance to the lowest polymorph of the same formula = 129 meV per atom
1.0
-4.067 -3.350 -4.850
-1.327 -5.757 -4.047
-6.438 -6.652 2.019
Te Be
4 2
Cartesian
-9.328 -12.508 -5.676
-10.830 -14.716 -7.170
-1.002 -1.043 0.293
-2.504 -3.251 -1.201
-7.813 -9.317 -1.280
-4.019 -6.442 -5.597